No. 1
DFT (PBE-GGA) results for an optimized crystal structure of PrTmH2Cl4.

The size of the total moment comes out at 0.00 Bohr magnetons per cell. As for the calculated density: 4.48 g/cm3. The value obtained for the total energy is -4.658 eV/atom.

Lattice parameters (Å, degrees): 3.8216 3.8216 13.3020 90.00 90.00 120.00
With the nearest neighbours (Å) after each atom.
Sites, in units of the cell vectors:
Cl1 0.3333 0.6667 0.1271  3 Tm 2.78, 3 H 2.78
Cl2 0.6667 0.3333 0.3620  3 H 2.87, 3 Pr 2.87
Cl3 0.6667 0.3333 0.6380  3 H 2.87, 3 Pr 2.87
Cl4 0.3333 0.6667 0.8729  3 Tm 2.78, 3 H 2.78
H1 0.6667 0.3333 0.0000  3 Tm 2.21
H2 0.3333 0.6667 0.5000  3 Pr 2.21
Pr1 0.0000 0.0000 0.5000  3 H 2.21
Tm1 0.0000 0.0000 0.0000  3 H 2.21



No. 2
DFT (PBE-GGA) results for an optimized crystal structure of ZnGaCoAg.

The size of the total moment comes out at 0.57 Bohr magnetons per cell. As for the calculated density: 8.84 g/cm3. The offset from the most stable computed form comes out at 0.000 eV/atom.

Lattice parameters (Å, degrees): 4.3123 4.3123 4.3123 60.00 60.00 60.00
With the nearest neighbours (Å) after each atom.
Sites, in units of the cell vectors:
Ag1 0.2500 0.2500 0.2500  4 Zn 2.64, 4 Ga 2.64
Co1 0.7500 0.7500 0.7500  4 Ga 2.64, 4 Zn 2.64
Ga1 0.0000 0.0000 0.0000  4 Co 2.64, 4 Ag 2.64
Zn1 0.5000 0.5000 0.5000  4 Ag 2.64, 4 Co 2.64



No. 3
DFT (PBE-GGA) results for an optimized crystal structure of DyHoCo2B2C2.

The size of the total moment comes out at 1.00 Bohr magnetons per cell. As for the calculated density: 8.52 g/cm3. The value obtained for the total energy is -7.321 eV/atom.

Lattice parameters (Å, degrees): 3.5402 3.5402 7.6366 90.00 90.00 90.00
With the nearest neighbours (Å) after each atom.
Sites, in units of the cell vectors:
B1 0.0000 0.0000 0.1503  1 C 1.51
B2 0.5000 0.5000 0.8493  1 C 1.51
C1 0.0000 0.0000 0.3477  1 B 1.51
C2 0.5000 0.5000 0.6517  1 B 1.51
Co1 0.5000 0.0000 0.0002  4 B 2.11
Co2 0.0000 0.5000 0.0002  4 B 2.11
Dy1 0.0000 0.0000 0.6665  5 C 2.43-2.51
Ho1 0.5000 0.5000 0.3340  5 C 2.43-2.51



No. 4
DFT (PBE-GGA) results for an optimized crystal structure of Sm2Pd2O5.

The size of the total moment comes out at 0.00 Bohr magnetons per cell. As for the calculated density: 8.74 g/cm3. The offset from the most stable computed form comes out at 0.000 eV/atom.

Lattice parameters (Å, degrees): 6.9556 4.0267 4.0266 90.00 90.00 90.00
With the nearest neighbours (Å) after each atom.
Sites, in units of the cell vectors:
O1 0.2283 0.5000 0.0000  2 Pd 2.03
O2 0.7717 0.5000 0.0000  2 Pd 2.03
O3 0.2283 0.0000 0.5000  2 Pd 2.03
O4 0.7717 0.0000 0.5000  2 Pd 2.03
O5 0.5000 0.5000 0.5000  2 Pd 2.14
Pd1 0.1924 0.5000 0.5000  5 O 2.03-2.14
Pd2 0.8076 0.5000 0.5000  5 O 2.03-2.14
Sm1 0.0000 0.0000 0.0000  8 O 2.56
Sm2 0.5000 0.0000 0.0000  12 O 2.76-2.85



No. 5
DFT (PBE-GGA) results for an optimized crystal structure of ZnReBi2.

The size of the total moment comes out at 0.36 Bohr magnetons per cell. As for the calculated density: 12.67 g/cm3. The value obtained for the total energy is -4.395 eV/atom.

Lattice parameters (Å, degrees): 4.9874 4.9874 4.9874 60.00 60.00 60.00
With the nearest neighbours (Å) after each atom.
Sites, in units of the cell vectors:
Bi1 0.0000 0.0000 0.0000  4 Bi 3.05, 4 Re 3.05
Bi2 0.2500 0.2500 0.2500  4 Zn 3.05, 4 Bi 3.05
Re1 0.7500 0.7500 0.7500  4 Zn 3.05, 4 Bi 3.05
Zn1 0.5000 0.5000 0.5000  4 Bi 3.05, 4 Re 3.05



No. 6
DFT (PBE-GGA) results for an optimized crystal structure of DyB4As.

The size of the total moment comes out at 0.00 Bohr magnetons per cell. As for the calculated density: 6.89 g/cm3. The offset from the most stable computed form comes out at 0.000 eV/atom.

Lattice parameters (Å, degrees): 5.2017 5.2017 5.2017 144.52 122.73 69.21
With the nearest neighbours (Å) after each atom.
Sites, in units of the cell vectors:
As1 0.0000 0.0000 0.0000  4 B 2.51
B1 0.5444 0.2293 0.3151  3 B 1.75-1.84
B2 0.0858 0.7707 0.3151  3 B 1.75-1.84
B3 0.4556 0.7707 0.6849  3 B 1.75-1.84
B4 0.9142 0.2293 0.6849  3 B 1.75-1.84
Dy1 0.5000 0.5000 0.0000  12 B 2.69-2.80, 4 As 2.95



No. 7
DFT (PBE-GGA) results for an optimized crystal structure of TaGaNO.

The size of the total moment comes out at 0.00 Bohr magnetons per cell. As for the calculated density: 8.95 g/cm3. The offset from the most stable computed form comes out at 0.000 eV/atom.

Lattice parameters (Å, degrees): 3.3354 4.9981 6.2479 90.00 90.00 90.00
With the nearest neighbours (Å) after each atom.
Sites, in units of the cell vectors:
Ga1 0.0000 0.6769 0.4036  2 N 2.00-2.08
Ga2 0.0000 0.3231 0.9036  2 N 2.00-2.08
N1 0.0000 0.6637 0.0701  2 Ga 2.00-2.08, 2 Ta 2.03
N2 0.0000 0.3363 0.5701  2 Ga 2.00-2.08, 2 Ta 2.03
O1 0.5000 0.1961 0.2357  2 Ta 1.93-1.96
O2 0.5000 0.8039 0.7357  2 Ta 1.93-1.96
Ta1 0.5000 0.8931 0.0366  2 O 1.93-1.96, 2 N 2.03
Ta2 0.5000 0.1069 0.5366  2 O 1.93-1.96, 2 N 2.03



No. 8
DFT (PBE-GGA) results for an optimized crystal structure of HoMg2.

The size of the total moment comes out at 0.01 Bohr magnetons per cell. As for the calculated density: 4.58 g/cm3. The value obtained for the total energy is -2.565 eV/atom.

Lattice parameters (Å, degrees): 17.0999 3.3279 5.4400 90.00 90.00 90.00
With the nearest neighbours (Å) after each atom.
Sites, in units of the cell vectors:
Ho1 0.3290 0.0000 0.0000  10 Mg 3.29-3.38, 2 Ho 3.33
Ho2 0.8290 0.5000 0.0000  10 Mg 3.29-3.38, 2 Ho 3.33
Ho3 0.1155 0.0000 0.5000  10 Mg 3.29-3.38, 2 Ho 3.33
Ho4 0.6155 0.5000 0.5000  10 Mg 3.29-3.38, 2 Ho 3.33
Mg1 0.0011 0.0000 0.0000  8 Mg 3.23-3.34, 4 Ho 3.35-3.38
Mg2 0.6628 0.0000 0.0000  6 Mg 3.23-3.40, 6 Ho 3.29
Mg3 0.1628 0.5000 0.0000  6 Mg 3.23-3.40, 6 Ho 3.29
Mg4 0.5011 0.5000 0.0000  8 Mg 3.23-3.34, 4 Ho 3.35-3.38
Mg5 0.4433 0.0000 0.5000  8 Mg 3.23-3.34, 4 Ho 3.35-3.38
Mg6 0.7817 0.0000 0.5000  6 Mg 3.23-3.40, 6 Ho 3.29
Mg7 0.2817 0.5000 0.5000  6 Mg 3.23-3.40, 6 Ho 3.29
Mg8 0.9433 0.5000 0.5000  8 Mg 3.23-3.34, 4 Ho 3.35-3.38